VASP calculation (PBE) on a relaxed structure of LaCr2As.

Cell lengths 3.1547, 3.1547, 25.5804 Å; angles 90.00, 90.00, 120.00 degrees
Closest atoms and distances in Å follow each position.
Space group R3m (No. 160, hexagonal axes)
Asymmetric unit:
La (0.0000, 0.0000, 0.0000) [3 per cell]  3 Cr 3.08, 6 La 3.15, 3 As 3.26
Cr (0.0000, 0.0000, 0.4921) [3 per cell]  3 Cr 2.41, 3 As 2.53
Cr (0.0000, 0.0000, 0.7637) [3 per cell]  3 Cr 2.41
As (0.0000, 0.0000, 0.2275) [3 per cell]  3 Cr 2.53

Formation energy: 0.392 eV/atom
DOS at the Fermi energy: 1.006 states/eV/atom

---

VASP calculation (PBE) on a relaxed structure of LaCr2As.

Cell lengths 3.2562, 3.2562, 7.1281 Å; angles 90.00, 90.00, 90.00 degrees
Closest atoms and distances in Å follow each position.
Space group P4mm (No. 99)
Asymmetric unit:
La (0.0000, 0.0000, 0.0000) [1 per cell]  4 As 3.20, 4 La 3.26, 5 Cr 3.29-3.51
Cr (0.0000, 0.0000, 0.5081) [1 per cell]  4 Cr 2.58, 4 As 2.70
Cr (0.5000, 0.5000, 0.6700) [1 per cell]  1 As 2.56, 4 Cr 2.58
As (0.5000, 0.5000, 0.3109) [1 per cell]  5 Cr 2.56-2.70

Formation energy: -0.002 eV/atom
DOS at the Fermi energy: 0.808 states/eV/atom

---

VASP calculation (PBE) on a relaxed structure of LaCr2As.

Cell lengths 4.3606, 4.3606, 4.0162 Å; angles 90.00, 90.00, 90.00 degrees
Closest atoms and distances in Å follow each position.
Space group P4/mmm (No. 123)
Asymmetric unit:
La (0.0000, 0.0000, 0.0000) [1 per cell]  8 Cr 2.96, 4 As 3.08
Cr (0.0000, 0.5000, 0.5000) [2 per cell]  4 As 2.96, 4 La 2.96, 4 Cr 3.08
As (0.5000, 0.5000, 0.0000) [1 per cell]  8 Cr 2.96, 4 La 3.08

Formation energy: 0.241 eV/atom
DOS at the Fermi energy: 1.011 states/eV/atom